Entry 1:
VASP calculation (PBE-GGA) on an optimized crystal structure of CsScCl3.

Properties
E_form (uncorrected) ... -9.89 eV/f.u.
Total magnetic moment ... 0.69 Bohr magnetons per cell

a b c (Å): 7.6424 7.6424 6.0070
angles (deg): 90.00 90.00 120.00
Closest atoms and distances in Å follow each position.
Space group P6_3/mmc (No. 194)
Unique sites:
Cs 0.3333 0.6667 0.2500 [2 per cell]  12 Cl 3.78-3.82
Sc 0.0000 0.0000 0.0000 [2 per cell]  6 Cl 2.60
Cl 0.1604 0.3208 0.7500 [6 per cell]  2 Sc 2.60

***

Entry 2:
VASP calculation (PBE-GGA) on an optimized crystal structure of CaCuPt.

Properties
ΔH_f (0 K) ... 168 meV/atom
Total magnetic moment ... 0.00 Bohr magnetons per cell
Offset from the most stable computed form ... 242 kJ/mol of formula units

a b c (Å): 6.4695 6.4695 6.4695
angles (deg): 90.00 90.00 90.00
Closest atoms and distances in Å follow each position.
Space group F-43m (No. 216)
Unique sites:
Ca 0.0000 0.0000 0.0000 [4 per cell]  4 Pt 2.80, 4 Cu 2.80
Cu 0.2500 0.2500 0.7500 [4 per cell]  4 Ca 2.80
Pt 0.2500 0.2500 0.2500 [4 per cell]  4 Ca 2.80

***

Entry 3:
VASP calculation (PBE-GGA) on an optimized crystal structure of Nd4BiIr2.

Properties
ΔH_f (0 K) ... -543 meV/atom
Total magnetic moment ... 0.00 Bohr magnetons per cell

a b c (Å): 9.5028 9.5136 9.9564
angles (deg): 90.00 90.00 90.00
Closest atoms and distances in Å follow each position.
Space group Imma (No. 74)
Unique sites:
Nd 0.0000 0.0659 0.2254 [8 per cell]  3 Ir 2.81-2.96
Nd 0.1842 0.2500 0.5247 [8 per cell]  3 Ir 2.81-2.96
Bi 0.0000 0.2500 0.8742 [4 per cell]  4 Nd 3.16-3.17
Ir 0.0000 0.0000 0.5000 [4 per cell]  6 Nd 2.81-2.96
Ir 0.2500 0.2500 0.2500 [4 per cell]  6 Nd 2.81-2.96

***

Entry 4:
VASP calculation (PBE-GGA) on an optimized crystal structure of Li4CuAg.

Properties
ΔH_f (0 K) ... -77 meV/atom
Total magnetic moment ... 0.00 Bohr magnetons per cell
Offset from the most stable computed form ... 2 kJ/mol of formula units

a b c (Å): 3.1793 3.1793 9.3503
angles (deg): 90.00 90.00 90.00
Closest atoms and distances in Å follow each position.
Space group P4/mmm (No. 123)
Unique sites:
Li 0.0000 0.0000 0.1464 [2 per cell]  4 Cu 2.63, 5 Li 2.74-2.86
Li 0.5000 0.5000 0.3353 [2 per cell]  4 Ag 2.73, 4 Li 2.86
Cu 0.5000 0.5000 0.0000 [1 per cell]  8 Li 2.63
Ag 0.0000 0.0000 0.5000 [1 per cell]  8 Li 2.73

***

Entry 5:
VASP calculation (PBE-GGA) on an optimized crystal structure of Mg2Bi2Te.

Properties
E_form (uncorrected) ... -0.25 eV/f.u.
Total magnetic moment ... 0.00 Bohr magnetons per cell
Offset from the most stable computed form ... 0 kJ/mol of formula units

a b c (Å): 9.3548 9.3548 3.2913
angles (deg): 90.00 90.00 90.00
Closest atoms and distances in Å follow each position.
Space group P4/mbm (No. 127)
Unique sites:
Mg 0.1461 0.3539 0.0000 [4 per cell]  6 Bi 3.13-3.24, 2 Mg 3.29
Bi 0.1527 0.6527 0.5000 [4 per cell]  6 Mg 3.13-3.24, 2 Bi 3.29
Te 0.0000 0.0000 0.5000 [2 per cell]  2 Te 3.29, 4 Bi 3.55

***

Entry 6:
VASP calculation (PBE-GGA) on an optimized crystal structure of TlHgBiF2.

Properties
E_form (uncorrected) ... -5.94 eV/f.u.
Total magnetic moment ... 0.00 Bohr magnetons per cell

a b c (Å): 4.5777 4.5777 6.3987
angles (deg): 90.00 90.00 90.00
Closest atoms and distances in Å follow each position.
Space group P4/mmm (No. 123)
Unique sites:
Tl 0.0000 0.0000 0.0000 [1 per cell]  2 Bi 3.20, 4 Hg 3.24
Hg 0.5000 0.5000 0.0000 [1 per cell]  4 Tl 3.24
Bi 0.0000 0.0000 0.5000 [1 per cell]  4 F 2.29
F 0.0000 0.5000 0.5000 [2 per cell]  2 Bi 2.29

***

Entry 7:
VASP calculation (PBE-GGA) on an optimized crystal structure of La2Pm3Th2.

Properties
ΔH_f (0 K) ... 43 meV/atom
Total magnetic moment ... 0.00 Bohr magnetons per cell

a b c (Å): 3.6359 6.3341 10.9492
angles (deg): 95.71 90.00 106.64
Closest atoms and distances in Å follow each position.
Space group P-1 (No. 2)
Unique sites:
La 0.0758 0.1504 0.2833 [2 per cell]  7 Pm 3.55-3.75, 2 La 3.64, 3 Th 3.64-3.73
Pm 0.3538 0.7075 0.4193 [2 per cell]  5 La 3.55-3.75, 2 Th 3.63, 5 Pm 3.64-3.80
Pm 0.5000 0.0000 0.0000 [1 per cell]  6 Th 3.61-3.63, 4 La 3.63, 2 Pm 3.64
Th 0.2160 0.4318 0.8651 [2 per cell]  4 Th 3.49-3.64, 5 Pm 3.61-3.63, 3 La 3.64-3.73

***

Entry 8:
VASP calculation (PBE-GGA) on an optimized crystal structure of FePd8Au5.

Properties
ΔH_f (0 K) ... 69 meV/atom
Total magnetic moment ... 9.56 Bohr magnetons per cell

a b c (Å): 7.7507 7.7507 7.9873
angles (deg): 90.00 90.00 90.00
Closest atoms and distances in Å follow each position.
Space group I-4 (No. 82)
Unique sites:
Fe 0.0000 0.0000 0.0000 [2 per cell]  8 Pd 2.44-2.68
Pd 0.0655 0.3268 0.0871 [8 per cell]  1 Fe 2.68, 4 Au 2.79-2.84, 4 Pd 2.82-2.96
Pd 0.0965 0.1690 0.7604 [8 per cell]  1 Fe 2.44, 2 Au 2.67-2.73
Au 0.0000 0.5000 0.7500 [2 per cell]  4 Pd 2.67
Au 0.1164 0.2097 0.4195 [8 per cell]  8 Pd 2.73-2.84, 2 Au 2.93

***

Entry 9:
VASP calculation (PBE-GGA) on an optimized crystal structure of La2ZnIn3.

Properties
ΔH_f (0 K) ... -480 meV/atom
Total magnetic moment ... 0.00 Bohr magnetons per cell

a b c (Å): 3.8987 4.9057 8.5424
angles (deg): 90.00 90.00 90.00
Closest atoms and distances in Å follow each position.
Space group Pmm2 (No. 25)
Unique sites:
La 0.0000 0.0000 0.0000 [1 per cell]  2 Zn 3.39, 10 In 3.46-3.59
La 0.0000 0.5000 0.4902 [1 per cell]  8 In 3.34-3.49, 4 Zn 3.44
Zn 0.5000 0.0000 0.3253 [1 per cell]  3 In 2.75-2.78
In 0.5000 0.0000 0.6475 [1 per cell]  1 Zn 2.75, 2 In 2.90
In 0.5000 0.5000 0.1725 [1 per cell]  2 Zn 2.78, 1 In 2.93
In 0.5000 0.5000 0.8294 [1 per cell]  3 In 2.90-2.93

***

Entry 10:
VASP calculation (PBE-GGA) on an optimized crystal structure of Pm4Pr5Ru2.

Properties
ΔH_f (0 K) ... -25 meV/atom
Total magnetic moment ... 0.00 Bohr magnetons per cell

a b c (Å): 9.1408 3.6886 10.3468
angles (deg): 90.00 91.74 90.00
Closest atoms and distances in Å follow each position.
Space group P2/m (No. 10)
Unique sites:
Pm 0.1782 0.0000 0.3267 [2 per cell]  2 Ru 2.86
Pm 0.1862 0.0000 0.9673 [2 per cell]  4 Ru 2.98-3.03
Pr 0.1622 0.5000 0.6474 [2 per cell]  1 Ru 2.78
Pr 0.4655 0.5000 0.1661 [2 per cell]  5 Pr 3.46-3.86, 4 Pm 3.65-3.72
Pr 0.5000 0.5000 0.5000 [1 per cell]  6 Pr 3.46-3.69, 4 Pm 3.87
Ru 0.0354 0.5000 0.1534 [2 per cell]  1 Pr 2.78, 6 Pm 2.86-3.03

***

Entry 11:
VASP calculation (PBE-GGA) on an optimized crystal structure of Cr2FeTe.

Properties
E_form (uncorrected) ... 2.46 eV/f.u.
Total magnetic moment ... 7.16 Bohr magnetons per cell
Offset from the most stable computed form ... 99 kJ/mol of formula units

a b c (Å): 3.0294 3.0294 22.8804
angles (deg): 90.00 90.00 120.00
Closest atoms and distances in Å follow each position.
Space group R3m (No. 160, hexagonal axes)
Unique sites:
Cr 0.0000 0.0000 0.0000 [3 per cell]  3 Cr 2.35, 3 Fe 2.48
Cr 0.0000 0.0000 0.2646 [3 per cell]  3 Cr 2.35
Fe 0.0000 0.0000 0.7436 [3 per cell]  3 Cr 2.48, 3 Te 2.74
Te 0.0000 0.0000 0.5026 [3 per cell]  3 Fe 2.74, 3 Cr 2.80, 6 Te 3.03

***

Entry 12:
VASP calculation (PBE-GGA) on an optimized crystal structure of Sr2Hg2Se.

Properties
E_form (uncorrected) ... -3.96 eV/f.u.
Total magnetic moment ... 0.00 Bohr magnetons per cell
Offset from the most stable computed form ... 0 kJ/mol of formula units

a b c (Å): 8.3559 8.3559 5.0348
angles (deg): 90.00 90.00 90.00
Closest atoms and distances in Å follow each position.
Space group P4/mbm (No. 127)
Unique sites:
Sr 0.1867 0.3133 0.0000 [4 per cell]  2 Se 3.05, 2 Hg 3.36
Hg 0.1248 0.6248 0.5000 [4 per cell]  1 Hg 2.95
Se 0.0000 0.0000 0.0000 [2 per cell]  4 Sr 3.05

***

Number 1: total DFT energy (no corrections) -4.5230 eV per atom. Number 2: total DFT energy (no corrections) -3.8786 eV per atom. Number 3: total DFT energy (no corrections) -6.3536 eV per atom. Number 4: total DFT energy (no corrections) -2.5107 eV per atom. Number 5: total DFT energy (no corrections) -2.8683 eV per atom. Number 6: total DFT energy (no corrections) -3.2465 eV per atom. Number 7: total DFT energy (no corrections) -5.5207 eV per atom. Number 8: total DFT energy (no corrections) -4.6738 eV per atom. Number 9: total DFT energy (no corrections) -3.7036 eV per atom. Number 10: total DFT energy (no corrections) -5.6113 eV per atom. Number 11: total DFT energy (no corrections) -7.0980 eV per atom. Number 12: total DFT energy (no corrections) -2.2823 eV per atom.